(1)
AlTePb2: optimized geometry, PBE-GGA.

## Properties
As for the formation energy from raw total energies: 3.41 kcal/mol of atoms. For the relative energy among the computed polymorphs, the calculation gives 0.092 eV/atom. Its magnetic moment is 0.00 μB per atom. The crystal system is tetragonal. The mass density is 8.42 g/cm³. The raw total energy is -3.427 eV/atom.

Cell: 3.435 3.435 9.515 Å, 90.00 90.00 90.00°
Fractional coordinates of all 4 atoms:
Pb1 0.000 0.000 0.965
Pb2 0.000 0.000 0.535
Te1 0.500 0.500 0.250
Al1 0.500 0.500 0.750



(2)
AlTePb2: optimized geometry, PBE-GGA.

## Properties
As for the formation energy from raw total energies: 1.64 kcal/mol of atoms. For the relative energy among the computed polymorphs, the calculation gives 0.016 eV/atom. Its magnetic moment is 0.00 μB per atom. The crystal system is monoclinic. The mass density is 8.03 g/cm³. The raw total energy is -3.504 eV/atom.

Cell: 7.158 7.158 4.636 Å, 71.36 71.36 31.68°
Fractional coordinates of all 4 atoms:
Pb1 0.937 0.937 0.062
Pb2 0.563 0.563 0.438
Te1 0.750 0.750 0.750
Al1 0.250 0.250 0.250



(3)
Al2TePb2: optimized geometry, PBE-GGA.

## Properties
As for the formation energy from raw total energies: 3.76 kcal/mol of atoms. For the relative energy among the computed polymorphs, the calculation gives 0.045 eV/atom. Its magnetic moment is 0.00 μB per atom. The crystal system is tetragonal. The mass density is 7.49 g/cm³. The raw total energy is -3.445 eV/atom.

Cell: 7.651 7.651 4.517 Å, 90.00 90.00 90.00°
Fractional coordinates of all 10 atoms:
Pb1 0.170 0.670 0.500
Pb2 0.670 0.830 0.500
Pb3 0.830 0.330 0.500
Pb4 0.330 0.170 0.500
Te1 0.000 0.000 0.000
Te2 0.500 0.500 0.000
Al1 0.374 0.874 0.000
Al2 0.874 0.626 0.000
Al3 0.626 0.126 0.000
Al4 0.126 0.374 0.000



(4)
AlTePb2: optimized geometry, PBE-GGA.

## Properties
As for the formation energy from raw total energies: 4.03 kcal/mol of atoms. For the relative energy among the computed polymorphs, the calculation gives 0.119 eV/atom. Its magnetic moment is 0.00 μB per atom. The crystal system is cubic. The mass density is 8.40 g/cm³. The raw total energy is -3.400 eV/atom.

Cell: 5.419 5.419 5.419 Å, 60.00 60.00 60.00°
Fractional coordinates of all 4 atoms:
Pb1 0.000 0.000 0.000
Pb2 0.250 0.250 0.250
Te1 0.750 0.750 0.750
Al1 0.500 0.500 0.500